P:
A relaxed Cd2InHgIr crystal, computed with PBE.

POSCAR file:
```
Cd2InHgIr
1.0
5.362 0.000 0.000
0.000 5.362 0.000
0.000 0.000 5.396
Cd In Hg Ir
2 1 1 1
direct
0.000 0.500 0.000 Cd
0.500 0.000 0.000 Cd
0.000 0.000 0.000 In
0.000 0.000 0.500 Hg
0.500 0.500 0.500 Ir
```

Computed properties:
DOS at the Fermi energy (states/eV/atom): 0.9894
Volume (Å³ per cell): 155.1



Q:
A relaxed Cd2InHgIr crystal, computed with PBE.

POSCAR file:
```
Cd2InHgIr
1.0
5.271 0.000 0.000
0.000 5.271 0.000
0.000 0.000 5.176
Cd In Hg Ir
2 1 1 1
direct
0.000 0.500 0.000 Cd
0.500 0.000 0.000 Cd
0.000 0.000 0.500 In
0.500 0.500 0.500 Hg
0.000 0.000 0.000 Ir
```

Computed properties:
DOS at the Fermi energy (states/eV/atom): 0.3021
Volume (Å³ per cell): 143.8



Top of the stability list: Q, leading by 1.169 eV/atom.



P:
A relaxed KCdInHg2 crystal, computed with PBE.

POSCAR file:
```
KCdInHg2
1.0
5.701 0.000 0.000
0.000 5.701 0.000
0.000 0.000 5.687
K Cd In Hg
1 1 1 2
direct
0.000 0.000 0.000 K
0.500 0.500 0.000 Cd
0.500 0.500 0.500 In
0.000 0.500 0.500 Hg
0.500 0.000 0.500 Hg
```

Computed properties:
DOS at the Fermi energy (states/eV/atom): 0.5153
Volume (Å³ per cell): 184.9



Q:
A relaxed KCdInHg2 crystal, computed with PBE.

POSCAR file:
```
KCdInHg2
1.0
-2.442 2.442 6.402
2.442 -2.442 6.402
2.442 2.442 -6.402
K Cd In Hg
1 1 1 2
direct
0.000 0.000 0.000 K
0.250 0.750 0.500 Cd
0.750 0.250 0.500 In
0.386 0.386 0.000 Hg
0.614 0.614 0.000 Hg
```

Computed properties:
DOS at the Fermi energy (states/eV/atom): 0.5325
Volume (Å³ per cell): 152.8



R:
A relaxed KCdInHg2 crystal, computed with PBE.

POSCAR file:
```
KCdInHg2
1.0
5.697 0.000 0.000
0.000 5.697 0.000
0.000 0.000 5.580
K Cd In Hg
1 1 1 2
direct
0.000 0.000 0.000 K
0.500 0.500 0.500 Cd
0.500 0.500 0.000 In
0.000 0.500 0.500 Hg
0.500 0.000 0.500 Hg
```

Computed properties:
DOS at the Fermi energy (states/eV/atom): 0.3242
Volume (Å³ per cell): 181.1



Top of the stability list: Q, leading by 0.130 eV/atom.



P:
A relaxed KCd2InHg crystal, computed with PBE.

POSCAR file:
```
KCd2InHg
1.0
5.693 0.000 0.000
0.000 5.693 0.000
0.000 0.000 5.692
K Cd In Hg
1 2 1 1
direct
0.000 0.000 0.000 K
0.000 0.500 0.500 Cd
0.500 0.000 0.500 Cd
0.500 0.500 0.500 In
0.500 0.500 0.000 Hg
```

Computed properties:
DOS at the Fermi energy (states/eV/atom): 0.4610
Volume (Å³ per cell): 184.5



Q:
A relaxed KCd2InHg crystal, computed with PBE.

POSCAR file:
```
KCd2InHg
1.0
-2.327 2.457 6.536
2.327 -2.457 6.536
2.327 2.457 -6.536
K Cd In Hg
1 2 1 1
direct
0.000 0.000 0.000 K
0.617 0.617 0.000 Cd
0.760 0.260 0.500 Cd
0.248 0.748 0.500 In
0.397 0.397 0.000 Hg
```

Computed properties:
DOS at the Fermi energy (states/eV/atom): 0.3656
Volume (Å³ per cell): 149.5



Top of the stability list: Q, leading by 0.152 eV/atom.



P:
A relaxed NdCdInHg crystal, computed with PBE.

POSCAR file:
```
NdCdInHg
1.0
0.000 3.711 3.711
3.711 0.000 3.711
3.711 3.711 0.000
Nd Cd In Hg
1 1 1 1
direct
0.000 0.000 0.000 Nd
0.500 0.500 0.500 Cd
0.750 0.750 0.750 In
0.250 0.250 0.250 Hg
```

Computed properties:
DOS at the Fermi energy (states/eV/atom): 0.2683
Volume (Å³ per cell): 102.2



Q:
A relaxed NdCdInHg crystal, computed with PBE.

POSCAR file:
```
NdCdInHg
1.0
-2.419 2.419 4.393
2.419 -2.419 4.393
2.419 2.419 -4.393
Nd Cd In Hg
1 1 1 1
direct
0.000 0.000 0.000 Nd
0.250 0.750 0.500 Cd
0.500 0.500 0.000 In
0.750 0.250 0.500 Hg
```

Computed properties:
DOS at the Fermi energy (states/eV/atom): 0.5243
Volume (Å³ per cell): 102.9



Top of the stability list: P, leading by 0.007 eV/atom.



P:
A relaxed CdInHgPb crystal, computed with PBE.

POSCAR file:
```
CdInHgPb
1.0
3.479 0.000 0.000
0.000 3.479 0.000
0.000 0.000 8.839
Cd In Hg Pb
1 1 1 1
direct
0.000 0.000 0.000 Cd
0.500 0.500 0.761 In
0.500 0.500 0.220 Hg
0.000 0.000 0.485 Pb
```

Computed properties:
DOS at the Fermi energy (states/eV/atom): 0.3729
Volume (Å³ per cell): 107.0



Q:
A relaxed CdInHgPb crystal, computed with PBE.

POSCAR file:
```
CdInHgPb
1.0
0.000 3.794 3.794
3.794 0.000 3.794
3.794 3.794 0.000
Cd In Hg Pb
1 1 1 1
direct
0.000 0.000 0.000 Cd
0.250 0.250 0.250 In
0.500 0.500 0.500 Hg
0.750 0.750 0.750 Pb
```

Computed properties:
DOS at the Fermi energy (states/eV/atom): 1.0046
Volume (Å³ per cell): 109.2



Top of the stability list: P, leading by 0.047 eV/atom.



P:
A relaxed TbCdInHg crystal, computed with PBE.

POSCAR file:
```
TbCdInHg
1.0
0.000 3.655 3.655
3.655 0.000 3.655
3.655 3.655 0.000
Tb Cd In Hg
1 1 1 1
direct
0.000 0.000 0.000 Tb
0.500 0.500 0.500 Cd
0.250 0.250 0.250 In
0.750 0.750 0.750 Hg
```

Computed properties:
DOS at the Fermi energy (states/eV/atom): 0.1904
Volume (Å³ per cell): 97.7



Q:
A relaxed TbCdInHg crystal, computed with PBE.

POSCAR file:
```
TbCdInHg
1.0
4.326 0.000 0.000
0.000 4.753 0.000
0.000 0.000 4.761
Tb Cd In Hg
1 1 1 1
direct
0.000 0.000 0.000 Tb
0.000 0.500 0.500 Cd
0.500 0.500 0.000 In
0.500 0.000 0.500 Hg
```

Computed properties:
DOS at the Fermi energy (states/eV/atom): 0.6015
Volume (Å³ per cell): 97.9



Top of the stability list: Q, leading by 0.039 eV/atom.